[1]
Ca3Np3ReN8 | Alexandria | PBE | optimized geometry; size of the total moment = 8.649 μB per cell; N(E_F) = 1.094 states/eV per atom; E = -9.17 eV per atom; space group = R-3m (166); E_form (uncorrected) = -0.913 eV/atom
1.0
3.350 1.934 5.678
-3.350 1.934 5.678
0.000 -3.869 5.678
Ca Np Re N
3 3 1 8
Direct
0.000 0.500 0.500 Ca
0.500 0.000 0.500 Ca
0.500 0.500 0.000 Ca
0.000 0.000 0.500 Np
0.000 0.500 0.000 Np
0.500 0.000 0.000 Np
0.500 0.500 0.500 Re
0.243 0.243 0.243 N
0.253 0.722 0.722 N
0.278 0.278 0.747 N
0.278 0.747 0.278 N
0.722 0.253 0.722 N
0.722 0.722 0.253 N
0.747 0.278 0.278 N
0.757 0.757 0.757 N

[2]
Ca2NpReN5 | Alexandria | PBE | optimized geometry; size of the total moment = 2.113 μB per cell; N(E_F) = 0.238 states/eV per atom; E = -8.70 eV per atom; space group = Cmc2_1 (36); E_form (uncorrected) = -0.813 eV/atom
1.0
1.733 -6.714 0.000
1.733 6.714 0.000
0.000 0.000 10.799
Ca Np Re N
4 2 2 10
Direct
0.101 0.899 0.500 Ca
0.146 0.854 0.142 Ca
0.854 0.146 0.642 Ca
0.899 0.101 0.000 Ca
0.211 0.789 0.852 Np
0.789 0.211 0.352 Np
0.477 0.523 0.277 Re
0.523 0.477 0.777 Re
0.040 0.960 0.860 N
0.282 0.718 0.478 N
0.313 0.687 0.236 N
0.371 0.629 0.826 N
0.497 0.503 0.615 N
0.503 0.497 0.115 N
0.629 0.371 0.326 N
0.687 0.313 0.736 N
0.718 0.282 0.978 N
0.960 0.040 0.360 N

[3]
CaNpRuN3 | Alexandria | PBE | optimized geometry; size of the total moment = 3.413 μB per cell; N(E_F) = 0.952 states/eV per atom; E = -8.78 eV per atom; space group = P2_1/m (11); E_form (uncorrected) = -0.576 eV/atom
1.0
7.215 0.000 0.000
0.000 3.335 0.000
-1.055 0.000 7.492
Ca Np Ru N
2 2 2 6
Direct
0.167 0.250 0.192 Ca
0.833 0.750 0.808 Ca
0.355 0.750 0.832 Np
0.645 0.250 0.168 Np
0.108 0.250 0.588 Ru
0.892 0.750 0.412 Ru
0.149 0.250 0.862 N
0.190 0.750 0.459 N
0.432 0.750 0.125 N
0.568 0.250 0.875 N
0.810 0.250 0.541 N
0.851 0.750 0.138 N

[4]
CaNp2RuN4 | Alexandria | PBE | optimized geometry; size of the total moment = 6.942 μB per cell; N(E_F) = 1.231 states/eV per atom; E = -9.62 eV per atom; space group = Cmcm (63); E_form (uncorrected) = -0.809 eV/atom
1.0
1.687 -5.738 0.000
1.687 5.738 0.000
0.000 0.000 11.702
Ca Np Ru N
2 4 2 8
Direct
0.098 0.902 0.750 Ca
0.902 0.098 0.250 Ca
0.370 0.630 0.556 Np
0.370 0.630 0.944 Np
0.630 0.370 0.056 Np
0.630 0.370 0.444 Np
0.165 0.835 0.250 Ru
0.835 0.165 0.750 Ru
0.000 0.000 0.000 N
0.000 0.000 0.500 N
0.264 0.736 0.099 N
0.264 0.736 0.401 N
0.444 0.556 0.750 N
0.556 0.444 0.250 N
0.736 0.264 0.599 N
0.736 0.264 0.901 N

[5]
Ca2NpRuN4 | Alexandria | PBE | optimized geometry; size of the total moment = 0.993 μB per cell; N(E_F) = 0.700 states/eV per atom; E = -8.27 eV per atom; space group = P2/m (10); E_form (uncorrected) = -0.829 eV/atom
1.0
5.437 0.000 0.000
0.000 3.436 0.000
-1.887 0.000 5.514
Ca Np Ru N
2 1 1 4
Direct
0.000 0.000 0.000 Ca
0.500 0.500 0.000 Ca
0.000 0.500 0.500 Np
0.500 0.000 0.500 Ru
0.234 0.000 0.715 N
0.263 0.500 0.294 N
0.737 0.500 0.706 N
0.766 0.000 0.285 N

[6]
Ca3Np3ScN8 | Alexandria | PBE | optimized geometry; size of the total moment = 6.000 μB per cell; N(E_F) = 0.810 states/eV per atom; E = -9.00 eV per atom; space group = R-3m (166); E_form (uncorrected) = -1.145 eV/atom
1.0
3.398 1.962 5.668
-3.398 1.962 5.668
0.000 -3.924 5.668
Ca Np Sc N
3 3 1 8
Direct
0.000 0.500 0.500 Ca
0.500 0.000 0.500 Ca
0.500 0.500 0.000 Ca
0.000 0.000 0.500 Np
0.000 0.500 0.000 Np
0.500 0.000 0.000 Np
0.500 0.500 0.500 Sc
0.230 0.731 0.731 N
0.242 0.242 0.242 N
0.269 0.269 0.770 N
0.269 0.770 0.269 N
0.731 0.230 0.731 N
0.731 0.731 0.230 N
0.758 0.758 0.758 N
0.770 0.269 0.269 N

[7]
Ca2NpScN4 | Alexandria | PBE | optimized geometry; size of the total moment = 1.999 μB per cell; N(E_F) = 0.463 states/eV per atom; E = -8.42 eV per atom; space group = P2/m (10); E_form (uncorrected) = -1.347 eV/atom
1.0
5.773 0.000 0.000
0.000 3.434 0.000
-1.815 0.000 5.633
Ca Np Sc N
2 1 1 4
Direct
0.000 0.000 0.000 Ca
0.500 0.500 0.000 Ca
0.000 0.500 0.500 Np
0.500 0.000 0.500 Sc
0.240 0.000 0.717 N
0.248 0.500 0.290 N
0.752 0.500 0.710 N
0.760 0.000 0.283 N

[8]
CaSm2NpN4 | Alexandria | PBE | optimized geometry; size of the total moment = 2.718 μB per cell; N(E_F) = 0.575 states/eV per atom; E = -8.51 eV per atom; space group = P2/m (10); E_form (uncorrected) = -1.299 eV/atom
1.0
6.054 0.000 0.000
0.000 3.542 0.000
-1.921 0.000 5.755
Ca Sm Np N
1 2 1 4
Direct
0.000 0.000 0.000 Ca
0.000 0.500 0.500 Sm
0.500 0.000 0.500 Sm
0.500 0.500 0.000 Np
0.263 0.000 0.761 N
0.281 0.500 0.230 N
0.719 0.500 0.770 N
0.737 0.000 0.239 N

[9]
Ca2SmNpN4 | Alexandria | PBE | optimized geometry; size of the total moment = 1.998 μB per cell; N(E_F) = 0.518 states/eV per atom; E = -8.11 eV per atom; space group = P2/m (10); E_form (uncorrected) = -1.240 eV/atom
1.0
6.049 0.000 0.000
0.000 3.536 0.000
-1.994 0.000 5.739
Ca Sm Np N
2 1 1 4
Direct
0.000 0.000 0.000 Ca
0.000 0.500 0.500 Ca
0.500 0.000 0.500 Sm
0.500 0.500 0.000 Np
0.277 0.000 0.771 N
0.286 0.500 0.226 N
0.714 0.500 0.774 N
0.723 0.000 0.229 N

[10]
Ca3SmNp2N6 | Alexandria | PBE | optimized geometry; size of the total moment = 5.004 μB per cell; N(E_F) = 0.904 states/eV per atom; E = -8.43 eV per atom; space group = C2/m (12); E_form (uncorrected) = -1.216 eV/atom
1.0
7.595 -1.760 0.000
7.595 1.760 0.000
-1.619 0.000 6.841
Ca Sm Np N
3 1 2 6
Direct
0.000 0.000 0.000 Ca
0.333 0.333 0.667 Ca
0.667 0.667 0.333 Ca
0.000 0.000 0.500 Sm
0.334 0.334 0.168 Np
0.666 0.666 0.832 Np
0.166 0.166 0.613 N
0.178 0.178 0.066 N
0.483 0.483 0.244 N
0.517 0.517 0.756 N
0.822 0.822 0.934 N
0.834 0.834 0.387 N

[11]
Ca2NpSnN4 | Alexandria | PBE | optimized geometry; size of the total moment = 2.854 μB per cell; N(E_F) = 0.853 states/eV per atom; E = -7.51 eV per atom; space group = P2/m (10); E_form (uncorrected) = -0.729 eV/atom
1.0
5.910 0.000 0.000
0.000 3.452 0.000
-1.965 0.000 5.684
Ca Np Sn N
2 1 1 4
Direct
0.000 0.000 0.000 Ca
0.500 0.500 0.000 Ca
0.000 0.500 0.500 Np
0.500 0.000 0.500 Sn
0.234 0.000 0.726 N
0.252 0.500 0.281 N
0.748 0.500 0.719 N
0.766 0.000 0.274 N

[12]
SrCa2Np3N6 | Alexandria | PBE | optimized geometry; size of the total moment = 9.008 μB per cell; N(E_F) = 1.598 states/eV per atom; E = -8.98 eV per atom; space group = C2/m (12); E_form (uncorrected) = -1.110 eV/atom
1.0
7.692 -1.757 0.000
7.692 1.757 0.000
-1.661 0.000 6.869
Sr Ca Np N
1 2 3 6
Direct
0.000 0.000 0.000 Sr
0.332 0.332 0.663 Ca
0.668 0.668 0.337 Ca
0.000 0.000 0.500 Np
0.332 0.332 0.169 Np
0.668 0.668 0.831 Np
0.159 0.159 0.604 N
0.180 0.180 0.064 N
0.491 0.491 0.284 N
0.509 0.509 0.716 N
0.820 0.820 0.936 N
0.841 0.841 0.396 N

[13]
Sr2Ca3NpN6 | Alexandria | PBE | optimized geometry; size of the total moment = 0.783 μB per cell; N(E_F) = 1.050 states/eV per atom; E = -6.92 eV per atom; space group = C2/m (12); E_form (uncorrected) = -0.902 eV/atom
1.0
3.136 -5.433 0.000
3.136 5.433 0.000
-2.136 0.000 5.696
Sr Ca Np N
2 3 1 6
Direct
0.168 0.832 0.000 Sr
0.832 0.168 0.000 Sr
0.000 0.000 0.500 Ca
0.340 0.660 0.500 Ca
0.660 0.340 0.500 Ca
0.500 0.500 0.000 Np
0.144 0.422 0.767 N
0.300 0.300 0.216 N
0.422 0.144 0.767 N
0.578 0.856 0.233 N
0.700 0.700 0.784 N
0.856 0.578 0.233 N

[14]
Ca4Np3TaN8 | Alexandria | PBE | optimized geometry; size of the total moment = 9.561 μB per cell; N(E_F) = 1.256 states/eV per atom; E = -9.00 eV per atom; space group = R-3m (166); E_form (uncorrected) = -1.171 eV/atom
1.0
3.409 1.968 5.656
-3.409 1.968 5.656
0.000 -3.936 5.656
Ca Np Ta N
4 3 1 8
Direct
0.000 0.000 0.000 Ca
0.000 0.500 0.500 Ca
0.500 0.000 0.500 Ca
0.500 0.500 0.000 Ca
0.000 0.000 0.500 Np
0.000 0.500 0.000 Np
0.500 0.000 0.000 Np
0.500 0.500 0.500 Ta
0.240 0.240 0.240 N
0.253 0.729 0.729 N
0.271 0.271 0.747 N
0.271 0.747 0.271 N
0.729 0.253 0.729 N
0.729 0.729 0.253 N
0.747 0.271 0.271 N
0.760 0.760 0.760 N

[15]
Ca3NpTa3N8 | Alexandria | PBE | optimized geometry; size of the total moment = 2.078 μB per cell; N(E_F) = 0.457 states/eV per atom; E = -9.22 eV per atom; space group = R-3m (166); E_form (uncorrected) = -1.141 eV/atom
1.0
3.208 1.852 5.654
-3.208 1.852 5.654
0.000 -3.705 5.654
Ca Np Ta N
3 1 3 8
Direct
0.000 0.500 0.500 Ca
0.500 0.000 0.500 Ca
0.500 0.500 0.000 Ca
0.500 0.500 0.500 Np
0.000 0.000 0.500 Ta
0.000 0.500 0.000 Ta
0.500 0.000 0.000 Ta
0.228 0.736 0.736 N
0.239 0.239 0.239 N
0.264 0.264 0.772 N
0.264 0.772 0.264 N
0.736 0.228 0.736 N
0.736 0.736 0.228 N
0.761 0.761 0.761 N
0.772 0.264 0.264 N

[16]
Ca3Np3TaN8 | Alexandria | PBE | optimized geometry; size of the total moment = 8.004 μB per cell; N(E_F) = 1.160 states/eV per atom; E = -9.35 eV per atom; space group = R-3m (166); E_form (uncorrected) = -1.134 eV/atom
1.0
3.387 1.956 5.686
-3.387 1.956 5.686
0.000 -3.911 5.686
Ca Np Ta N
3 3 1 8
Direct
0.000 0.500 0.500 Ca
0.500 0.000 0.500 Ca
0.500 0.500 0.000 Ca
0.000 0.000 0.500 Np
0.000 0.500 0.000 Np
0.500 0.000 0.000 Np
0.500 0.500 0.500 Ta
0.241 0.241 0.241 N
0.253 0.721 0.721 N
0.279 0.279 0.747 N
0.279 0.747 0.279 N
0.721 0.253 0.721 N
0.721 0.721 0.253 N
0.747 0.279 0.279 N
0.759 0.759 0.759 N

[17]
Ca3TbNp3N8 | Alexandria | PBE | optimized geometry; size of the total moment = 6.001 μB per cell; N(E_F) = 0.882 states/eV per atom; E = -8.82 eV per atom; space group = R-3m (166); E_form (uncorrected) = -1.081 eV/atom
1.0
3.461 1.998 5.682
-3.461 1.998 5.682
0.000 -3.997 5.682
Ca Tb Np N
3 1 3 8
Direct
0.000 0.500 0.500 Ca
0.500 0.000 0.500 Ca
0.500 0.500 0.000 Ca
0.500 0.500 0.500 Tb
0.000 0.000 0.500 Np
0.000 0.500 0.000 Np
0.500 0.000 0.000 Np
0.217 0.738 0.738 N
0.242 0.242 0.242 N
0.262 0.262 0.783 N
0.262 0.783 0.262 N
0.738 0.217 0.738 N
0.738 0.738 0.217 N
0.758 0.758 0.758 N
0.783 0.262 0.262 N

[18]
Ca3TbNp2N6 | Alexandria | PBE | optimized geometry; size of the total moment = 5.004 μB per cell; N(E_F) = 0.897 states/eV per atom; E = -8.46 eV per atom; space group = C2/m (12); E_form (uncorrected) = -1.252 eV/atom
1.0
7.553 -1.751 0.000
7.553 1.751 0.000
-1.648 0.000 6.806
Ca Tb Np N
3 1 2 6
Direct
0.000 0.000 0.000 Ca
0.333 0.333 0.667 Ca
0.667 0.667 0.333 Ca
0.000 0.000 0.500 Tb
0.334 0.334 0.170 Np
0.666 0.666 0.830 Np
0.165 0.165 0.610 N
0.177 0.177 0.065 N
0.485 0.485 0.250 N
0.515 0.515 0.750 N
0.823 0.823 0.935 N
0.835 0.835 0.390 N

[19]
Ca4TbNp3N8 | Alexandria | PBE | optimized geometry; size of the total moment = 8.002 μB per cell; N(E_F) = 1.192 states/eV per atom; E = -8.61 eV per atom; space group = R-3m (166); E_form (uncorrected) = -1.227 eV/atom
1.0
3.486 2.013 5.698
-3.486 2.013 5.698
0.000 -4.026 5.698
Ca Tb Np N
4 1 3 8
Direct
0.000 0.000 0.000 Ca
0.000 0.500 0.500 Ca
0.500 0.000 0.500 Ca
0.500 0.500 0.000 Ca
0.500 0.500 0.500 Tb
0.000 0.000 0.500 Np
0.000 0.500 0.000 Np
0.500 0.000 0.000 Np
0.223 0.746 0.746 N
0.240 0.240 0.240 N
0.254 0.254 0.777 N
0.254 0.777 0.254 N
0.746 0.223 0.746 N
0.746 0.746 0.223 N
0.760 0.760 0.760 N
0.777 0.254 0.254 N

[20]
CaTb2NpN4 | Alexandria | PBE | optimized geometry; size of the total moment = 2.833 μB per cell; N(E_F) = 0.508 states/eV per atom; E = -8.57 eV per atom; space group = P2/m (10); E_form (uncorrected) = -1.386 eV/atom
1.0
5.984 0.000 0.000
0.000 3.495 0.000
-1.885 0.000 5.687
Ca Tb Np N
1 2 1 4
Direct
0.000 0.000 0.000 Ca
0.500 0.000 0.500 Tb
0.500 0.500 0.000 Tb
0.000 0.500 0.500 Np
0.238 0.500 0.280 N
0.248 0.000 0.742 N
0.752 0.000 0.258 N
0.762 0.500 0.720 N